Density functional theory data (PBE-GGA) for a relaxed structure of Tb5Bi4Sb.

Calculated values
- Space-group type: No. 87
- Formation energy (no corrections): -0.932 eV/atom

The structure in extended XYZ format:
```
10
Lattice="6.326 0.000 0.000 3.163 7.073 0.000 3.163 0.000 7.073" Properties=species:S:1:pos:R:3 pbc="T T T"
Bi 6.332 2.824 5.644
Bi 3.169 1.429 2.824
Bi 9.495 5.644 4.250
Bi 6.332 4.250 1.429
Sb 0.009 0.000 0.000
Tb 9.495 2.795 5.682
Tb 3.169 4.278 1.391
Tb 6.332 1.391 2.795
Tb 3.172 0.000 0.000
Tb 6.332 5.682 4.278
```